# 1
VASP calculation (PBE-GGA) on a relaxed CsHg2TePb crystal.

abc: 5.9988 5.9988 6.2762
angles: 90.00 90.00 90.00
Atoms (fractional coordinates):
Cs  0.0000  0.0000  0.0000
Hg  0.0000  0.5000  0.5000
Hg  0.5000  0.0000  0.5000
Te  0.5000  0.5000  0.0000
Pb  0.5000  0.5000  0.5000

Properties
Magnetic moment (μB per formula unit): 0.00
Energy relative to the elements, uncorrected (eV/atom): -0.265
Space-group type: P4/mmm (123)
Uncorrected energy (eV for the cell shown): -9.6

# 2
VASP calculation (PBE-GGA) on a relaxed Cs2Hg2Te4Pb crystal.

abc: 9.1973 9.1973 8.9839
angles: 108.11 108.11 30.21
Atoms (fractional coordinates):
Cs  0.1311  0.1311  0.0658
Cs  0.8689  0.8689  0.9342
Hg  0.3361  0.3361  0.5235
Hg  0.6639  0.6639  0.4765
Te  0.1998  0.1998  0.6742
Te  0.4884  0.4884  0.7468
Te  0.5116  0.5116  0.2532
Te  0.8002  0.8002  0.3258
Pb  0.0000  0.0000  0.5000

Properties
Magnetic moment (μB per formula unit): 0.00
Energy relative to the elements, uncorrected (eV/atom): -0.570
Space-group type: C2/m (12)
Uncorrected energy (eV for the cell shown): -23.7

# 3
VASP calculation (PBE-GGA) on a relaxed CsTl4Hg2Pb crystal.

abc: 11.5201 11.5201 11.5201
angles: 27.39 27.39 27.39
Atoms (fractional coordinates):
Cs  0.0000  0.0000  0.0000
Tl  0.1295  0.1295  0.1295
Tl  0.4060  0.4060  0.4060
Tl  0.5940  0.5940  0.5940
Tl  0.8705  0.8705  0.8705
Hg  0.2400  0.2400  0.2400
Hg  0.7600  0.7600  0.7600
Pb  0.5000  0.5000  0.5000

Properties
Magnetic moment (μB per formula unit): 0.00
Space-group type: R-3m (166)
Uncorrected energy (eV for the cell shown): -15.2

# 4
VASP calculation (PBE-GGA) on a relaxed Cs2Tl4Hg3Pb crystal.

abc: 5.4157 5.4157 12.7820
angles: 90.00 90.00 90.00
Atoms (fractional coordinates):
Cs  0.0000  0.5000  0.2493
Cs  0.5000  0.0000  0.7507
Tl  0.0000  0.0000  0.5000
Tl  0.0000  0.5000  0.8713
Tl  0.5000  0.0000  0.1287
Tl  0.5000  0.5000  0.5000
Hg  0.0000  0.0000  0.0000
Hg  0.0000  0.5000  0.6267
Hg  0.5000  0.0000  0.3733
Pb  0.5000  0.5000  0.0000

Properties
Magnetic moment (μB per formula unit): 0.00
Space-group type: P-4m2 (115)
Uncorrected energy (eV for the cell shown): -17.0